# 1
Here is a geometry-optimized Tb2PrPt2 structure from Alexandria via LeMat-Bulk. Energies are from GGA-PBE.

a = 3.9339 Å, b = 7.9306 Å, c = 7.9306 Å
α = 90.00°, β = 90.00°, γ = 90.00°
Closest atoms and distances in Å follow each position.
Sites, in units of the cell vectors:
Pr 0.5000 0.5000 0.0000  4 Pt 3.09
Tb 0.0000 0.8405 0.8405  6 Pt 3.04-3.06
Pt 0.5000 0.8658 0.1342  1 Pt 3.01, 6 Tb 3.04-3.06, 2 Pr 3.09
Tb 0.0000 0.1595 0.1595  6 Pt 3.04-3.06
Pt 0.5000 0.3658 0.3658  1 Pt 3.01, 6 Tb 3.04-3.06, 2 Pr 3.09
Tb 0.0000 0.6595 0.3405  6 Pt 3.04-3.06
Pr 0.5000 0.0000 0.5000  4 Pt 3.09
Tb 0.0000 0.3405 0.6595  6 Pt 3.04-3.06
Pt 0.5000 0.6342 0.6342  1 Pt 3.01, 6 Tb 3.04-3.06, 2 Pr 3.09
Pt 0.5000 0.1342 0.8658  1 Pt 3.01, 6 Tb 3.04-3.06, 2 Pr 3.09

Computed properties:
* E above lowest polymorph: 0.0 meV per atom



# 2
Here is a geometry-optimized Pr2Th3Ga4 structure from Alexandria via LeMat-Bulk. Energies are from GGA-PBE.

a = 7.7873 Å, b = 8.1404 Å, c = 8.1705 Å
α = 90.00°, β = 90.00°, γ = 107.12°
Closest atoms and distances in Å follow each position.
Sites, in units of the cell vectors:
Ga 0.3691 0.0784 0.9691  1 Ga 2.75, 2 Th 2.99-3.04
Pr 0.9240 0.8089 0.8237  6 Ga 3.19-3.50
Ga 0.6309 0.9216 0.0309  1 Ga 2.75, 2 Th 2.99-3.04
Pr 0.0760 0.1911 0.1763  6 Ga 3.19-3.50
Ga 0.8777 0.4889 0.1212  1 Ga 2.72
Pr 0.4240 0.8089 0.6763  6 Ga 3.19-3.50
Th 0.7508 0.2427 0.8202  6 Ga 2.99-3.14
Th 0.5000 0.5000 0.0000  6 Ga 3.13-3.29
Ga 0.1223 0.5111 0.8788  1 Ga 2.72
Pr 0.5760 0.1911 0.3237  6 Ga 3.19-3.50
Ga 0.1309 0.9216 0.4691  1 Ga 2.75, 2 Th 2.99-3.04
Th 0.7492 0.7573 0.3202  6 Ga 2.99-3.14
Th 0.2492 0.7573 0.1798  6 Ga 2.99-3.14
Ga 0.8691 0.0784 0.5309  1 Ga 2.75, 2 Th 2.99-3.04
Th 0.2508 0.2427 0.6798  6 Ga 2.99-3.14
Th 0.0000 0.5000 0.5000  6 Ga 3.13-3.29
Ga 0.6223 0.5111 0.6212  1 Ga 2.72
Ga 0.3777 0.4889 0.3788  1 Ga 2.72



# 3
Here is a geometry-optimized NbAlC3 structure from Alexandria via LeMat-Bulk. Energies are from GGA-PBE.

a = 4.2042 Å, b = 4.2042 Å, c = 4.2042 Å
α = 90.00°, β = 90.00°, γ = 90.00°
Closest atoms and distances in Å follow each position.
Sites, in units of the cell vectors:
C 0.0000 0.5000 0.0000  2 Nb 2.10
Al 0.5000 0.5000 0.5000  12 C 2.97
C 0.0000 0.0000 0.5000  2 Nb 2.10
Nb 0.0000 0.0000 0.0000  6 C 2.10
C 0.5000 0.0000 0.0000  2 Nb 2.10

Computed properties:
* E above lowest polymorph: 60.6 meV per atom



# 4
Here is a geometry-optimized Na2ZnGaAg6 structure from Alexandria via LeMat-Bulk. Energies are from GGA-PBE.

a = 7.0273 Å, b = 7.0273 Å, c = 7.0273 Å
α = 60.00°, β = 60.00°, γ = 90.00°
Closest atoms and distances in Å follow each position.
Sites, in units of the cell vectors:
Na 0.7500 0.2500 0.5000  12 Ag 3.51
Zn 0.5000 0.5000 0.0000  6 Ag 2.48
Ag 0.2507 0.2507 0.4986  1 Zn 2.48, 1 Ga 2.49
Na 0.2500 0.7500 0.5000  12 Ag 3.51
Ag 0.2507 0.7493 0.0000  1 Zn 2.48, 1 Ga 2.49
Ag 0.2507 0.2507 0.0000  1 Zn 2.48, 1 Ga 2.49
Ag 0.7493 0.7493 0.5014  1 Zn 2.48, 1 Ga 2.49
Ag 0.7493 0.7493 0.0000  1 Zn 2.48, 1 Ga 2.49
Ga 0.0000 0.0000 0.0000  6 Ag 2.49
Ag 0.7493 0.2507 0.0000  1 Zn 2.48, 1 Ga 2.49



Results for calculated formation energy: -0.981, -0.457, 1.932, 0.197 (in eV/atom, following the order of the records).